This record from Alexandria describes a relaxed LaCo2ReNi crystal. The functional is PBE-GGA.

Computed properties:
- energy of formation (eV/atom) = 0.53
- electronic total energy (eV per atom) = -6.9455

a = 4.5212 Å, b = 4.5212 Å, c = 4.6355 Å
α = 90.00°, β = 90.00°, γ = 90.00°
With the nearest neighbours (Å) after each atom.
Fractional coordinates of all 5 atoms:
La (0.0000, 0.0000, 0.0000)  4 Ni 3.20, 8 Co 3.24
Co (0.0000, 0.5000, 0.5000)  2 Re 2.26
Co (0.5000, 0.0000, 0.5000)  2 Re 2.26
Re (0.5000, 0.5000, 0.5000)  4 Co 2.26, 2 Ni 2.32
Ni (0.5000, 0.5000, 0.0000)  2 Re 2.32

This record from Alexandria describes a relaxed AlCdOs2 crystal. The functional is PBE-GGA.

Computed properties:
- ΔE to the lowest computed polymorph (eV/atom) = 0.097
- energy of formation (eV/atom) = 0.20
- electronic total energy (eV per atom) = -6.5834

a = 9.2703 Å, b = 9.2703 Å, c = 9.2703 Å
α = 17.65°, β = 17.65°, γ = 17.65°
With the nearest neighbours (Å) after each atom.
Fractional coordinates of all 4 atoms:
Al (0.0000, 0.0000, 0.0000)  3 Os 2.66, 6 Al 2.85
Cd (0.7582, 0.7582, 0.7582)  6 Cd 2.85, 3 Os 2.98, 3 Al 3.00
Os (0.2570, 0.2570, 0.2570)  9 Os 2.62-2.85, 3 Al 2.66
Os (0.5157, 0.5157, 0.5157)  9 Os 2.62-2.85

This record from Alexandria describes a relaxed MnFeAg2 crystal. The functional is PBE-GGA.

Computed properties:
- ΔE to the lowest computed polymorph (eV/atom) = 0.170
- energy of formation (eV/atom) = 0.43
- electronic total energy (eV per atom) = -5.4074

a = 9.4343 Å, b = 9.4343 Å, c = 9.4343 Å
α = 16.91°, β = 16.91°, γ = 16.91°
With the nearest neighbours (Å) after each atom.
Fractional coordinates of all 4 atoms:
Mn (0.0000, 0.0000, 0.0000)  6 Mn 2.77, 6 Ag 2.84
Fe (0.5000, 0.5000, 0.5000)  6 Fe 2.77, 6 Ag 2.81
Ag (0.2493, 0.2493, 0.2493)  6 Ag 2.77, 3 Fe 2.81, 3 Mn 2.84
Ag (0.7507, 0.7507, 0.7507)  6 Ag 2.77, 3 Fe 2.81, 3 Mn 2.84

This record from Alexandria describes a relaxed SnHBr2 crystal. The functional is PBE-GGA.

Computed properties:
- electronic total energy (eV per atom) = -2.6701

a = 10.1606 Å, b = 10.1606 Å, c = 5.9847 Å
α = 90.00°, β = 90.00°, γ = 155.72°
With the nearest neighbours (Å) after each atom.
Fractional coordinates of all 8 atoms:
Sn (0.1768, 0.8232, 0.7500)  4 Br 2.85-3.03
Sn (0.8232, 0.1768, 0.2500)  4 Br 2.85-3.03
H (0.0395, 0.9605, 0.2500)  3 Br 3.19-3.23, 2 H 3.38
H (0.9605, 0.0395, 0.7500)  3 Br 3.19-3.23, 2 H 3.38
Br (0.2001, 0.7999, 0.2500)  4 Sn 3.03-3.25, 1 H 3.19
Br (0.4179, 0.5821, 0.2500)  2 Sn 2.85
Br (0.5821, 0.4179, 0.7500)  2 Sn 2.85
Br (0.7999, 0.2001, 0.7500)  4 Sn 3.03-3.25, 1 H 3.19

This record from Alexandria describes a relaxed AsAu3 crystal. The functional is PBE-GGA.

Computed properties:
- ΔE to the lowest computed polymorph (eV/atom) = 0.046
- energy of formation (eV/atom) = 0.15
- electronic total energy (eV per atom) = -3.4695

a = 8.8535 Å, b = 8.8535 Å, c = 8.8535 Å
α = 152.52°, β = 152.52°, γ = 39.25°
With the nearest neighbours (Å) after each atom.
Fractional coordinates of all 8 atoms:
As (0.1249, 0.1249, 0.0000)  12 Au 2.96-2.97
As (0.8751, 0.8751, 0.0000)  12 Au 2.96-2.97
Au (0.0000, 0.5000, 0.5000)  4 As 2.96, 8 Au 2.96-2.97
Au (0.2500, 0.7500, 0.5000)  8 Au 2.96-2.97, 4 As 2.96
Au (0.3748, 0.3748, 0.0000)  8 Au 2.96, 4 As 2.97
Au (0.5000, 0.0000, 0.5000)  4 As 2.96, 8 Au 2.96-2.97
Au (0.6252, 0.6252, 0.0000)  8 Au 2.96, 4 As 2.97
Au (0.7500, 0.2500, 0.5000)  8 Au 2.96-2.97, 4 As 2.96

This record from Alexandria describes a relaxed K2RePdPt crystal. The functional is PBE-GGA.

Computed properties:
- energy of formation (eV/atom) = 1.38
- electronic total energy (eV per atom) = -3.7969

a = 6.3450 Å, b = 6.3450 Å, c = 4.7344 Å
α = 90.00°, β = 90.00°, γ = 90.00°
With the nearest neighbours (Å) after each atom.
Fractional coordinates of all 5 atoms:
K (0.0000, 0.5000, 0.0000)  2 Re 3.17
K (0.5000, 0.0000, 0.0000)  2 Re 3.17
Re (0.0000, 0.0000, 0.0000)  2 Pt 2.37
Pd (0.5000, 0.5000, 0.5000)  8 K 3.96
Pt (0.0000, 0.0000, 0.5000)  2 Re 2.37

This record from Alexandria describes a relaxed SnS2NCl crystal. The functional is PBE-GGA.

Computed properties:
- E_form (uncorrected) (eV per atom) = 0.71
- ΔE to the lowest computed polymorph (eV/atom) = 0.000
- electronic total energy (eV per atom) = -3.7737

a = 4.2124 Å, b = 4.2124 Å, c = 4.7953 Å
α = 90.00°, β = 90.00°, γ = 90.00°
With the nearest neighbours (Å) after each atom.
Fractional coordinates of all 5 atoms:
Sn (0.0000, 0.0000, 0.0000)  4 Cl 2.98, 8 S 3.19
S (0.0000, 0.5000, 0.5000)  2 N 2.11
S (0.5000, 0.0000, 0.5000)  2 N 2.11
N (0.5000, 0.5000, 0.5000)  4 S 2.11
Cl (0.5000, 0.5000, 0.0000)  2 N 2.40

This record from Alexandria describes a relaxed Pu2Fe7 crystal. The functional is PBE-GGA.

Computed properties:
- energy of formation (eV/atom) = -0.02
- electronic total energy (eV per atom) = -9.7911

a = 12.7179 Å, b = 12.7179 Å, c = 12.7179 Å
α = 22.45°, β = 22.45°, γ = 22.45°
With the nearest neighbours (Å) after each atom.
Fractional coordinates of all 18 atoms:
Pu (0.0526, 0.0526, 0.0526)  12 Fe 2.86-3.16
Pu (0.1484, 0.1484, 0.1484)  12 Fe 2.85-3.12, 3 Pu 3.17
Pu (0.8516, 0.8516, 0.8516)  12 Fe 2.85-3.12, 3 Pu 3.17
Pu (0.9474, 0.9474, 0.9474)  12 Fe 2.86-3.15
Fe (0.0000, 0.5000, 0.5000)  8 Fe 2.48-2.51
Fe (0.1106, 0.6101, 0.6101)  7 Fe 2.47-2.54
Fe (0.2777, 0.2777, 0.2777)  6 Fe 2.48-2.51
Fe (0.3885, 0.3885, 0.3885)  6 Fe 2.50
Fe (0.3899, 0.3899, 0.8894)  7 Fe 2.47-2.54
Fe (0.3899, 0.8894, 0.3899)  7 Fe 2.47-2.54
Fe (0.5000, 0.0000, 0.5000)  8 Fe 2.48-2.51
Fe (0.5000, 0.5000, 0.0000)  8 Fe 2.48-2.51
Fe (0.5000, 0.5000, 0.5000)  6 Fe 2.54
Fe (0.6101, 0.1106, 0.6101)  7 Fe 2.47-2.54
Fe (0.6101, 0.6101, 0.1106)  7 Fe 2.47-2.54
Fe (0.6115, 0.6115, 0.6115)  6 Fe 2.50
Fe (0.7223, 0.7223, 0.7223)  6 Fe 2.48-2.51
Fe (0.8894, 0.3899, 0.3899)  7 Fe 2.47-2.54

This record from Alexandria describes a relaxed Li3NiPb crystal. The functional is PBE-GGA.

Computed properties:
- ΔE to the lowest computed polymorph (eV/atom) = 0.549
- energy of formation (eV/atom) = 0.72
- electronic total energy (eV per atom) = -2.3288

a = 5.0150 Å, b = 5.0150 Å, c = 5.0150 Å
α = 90.00°, β = 90.00°, γ = 90.00°
With the nearest neighbours (Å) after each atom.
Fractional coordinates of all 5 atoms:
Li (0.0000, 0.0000, 0.5000)  2 Pb 2.51
Li (0.0000, 0.5000, 0.0000)  2 Pb 2.51
Li (0.5000, 0.0000, 0.0000)  2 Pb 2.51
Ni (0.5000, 0.5000, 0.5000)  12 Li 3.55
Pb (0.0000, 0.0000, 0.0000)  6 Li 2.51

This record from Alexandria describes a relaxed SrCdFe2 crystal. The functional is PBE-GGA.

Computed properties:
- energy of formation (eV/atom) = 0.71
- electronic total energy (eV per atom) = -4.1667

a = 5.1390 Å, b = 5.1390 Å, c = 5.1390 Å
α = 127.91°, β = 127.91°, γ = 76.77°
With the nearest neighbours (Å) after each atom.
Fractional coordinates of all 4 atoms:
Sr (0.0000, 0.0000, 0.0000)  8 Fe 3.02, 4 Cd 3.19
Cd (0.5000, 0.5000, 0.0000)  8 Fe 3.02, 4 Sr 3.19
Fe (0.2500, 0.7500, 0.5000)  4 Cd 3.02, 4 Sr 3.02, 4 Fe 3.19
Fe (0.7500, 0.2500, 0.5000)  4 Cd 3.02, 4 Sr 3.02, 4 Fe 3.19

This record from Alexandria describes a relaxed CdS2F crystal. The functional is PBE-GGA.

Computed properties:
- E_form (uncorrected) (eV per atom) = 0.36
- ΔE to the lowest computed polymorph (eV/atom) = 0.808
- electronic total energy (eV per atom) = -2.4033

a = 9.0823 Å, b = 9.0823 Å, c = 9.0823 Å
α = 18.64°, β = 18.64°, γ = 18.64°
With the nearest neighbours (Å) after each atom.
Fractional coordinates of all 4 atoms:
Cd (0.0000, 0.0000, 0.0000)  2 S 2.51
S (0.0938, 0.0938, 0.0938)  1 Cd 2.51, 3 F 2.59
S (0.9062, 0.9062, 0.9062)  1 Cd 2.51, 3 F 2.59
F (0.5000, 0.5000, 0.5000)  6 S 2.59

This record from Alexandria describes a relaxed RbLi2BiCl6 crystal. The functional is PBE-GGA.

Computed properties:
- E_form (uncorrected) (eV per atom) = -1.54
- electronic total energy (eV per atom) = -3.5110

a = 8.8542 Å, b = 8.8542 Å, c = 8.8542 Å
α = 44.56°, β = 44.56°, γ = 44.56°
With the nearest neighbours (Å) after each atom.
Fractional coordinates of all 10 atoms:
Rb (0.0000, 0.0000, 0.0000)  6 Cl 3.35
Li (0.1726, 0.1726, 0.1726)  6 Cl 2.56-2.72
Li (0.8274, 0.8274, 0.8274)  6 Cl 2.56-2.72
Bi (0.5000, 0.5000, 0.5000)  6 Cl 2.73
Cl (0.0942, 0.7839, 0.4390)  2 Li 2.56-2.72, 1 Bi 2.73
Cl (0.2161, 0.5610, 0.9058)  2 Li 2.56-2.72, 1 Bi 2.73
Cl (0.4390, 0.0942, 0.7839)  2 Li 2.56-2.72, 1 Bi 2.73
Cl (0.5610, 0.9058, 0.2161)  2 Li 2.56-2.72, 1 Bi 2.73
Cl (0.7839, 0.4390, 0.0942)  2 Li 2.56-2.72, 1 Bi 2.73
Cl (0.9058, 0.2161, 0.5610)  2 Li 2.56-2.72, 1 Bi 2.73

This record from Alexandria describes a relaxed KCuP crystal. The functional is PBE-GGA.

Computed properties:
- energy of formation (eV/atom) = 0.02
- electronic total energy (eV per atom) = -3.5133

a = 6.2925 Å, b = 6.1774 Å, c = 3.4378 Å
α = 75.85°, β = 72.16°, γ = 31.99°
With the nearest neighbours (Å) after each atom.
Fractional coordinates of all 3 atoms:
K (0.0000, 0.0000, 0.0000)  1 Cu 2.99, 1 P 3.17
Cu (0.7397, 0.7397, 0.2603)  2 P 2.32
P (0.2762, 0.2762, 0.7238)  2 Cu 2.32